Record 1
# OsRuSN2 (PBE, optimized geometry)
# Excess energy over the best structure of this formula in the dataset in meV/atom: 464
# Electronic total energy in eV per atom: -6.71
# Raw formation energy in meV per atom: 1551
# D(E_F) in states/eV/cell: 7.062
data_OsRuSN2
_chemical_formula_sum 'Os1 Ru1 S1 N2'
_cell_length_a 3.7174
_cell_length_b 3.7174
_cell_length_c 5.2369
_cell_angle_alpha 90.00
_cell_angle_beta 90.00
_cell_angle_gamma 90.00
_symmetry_space_group_name_H-M 'P 4/m m m'
_symmetry_Int_Tables_number 123
_symmetry_space_group_name_Hall '-P 4 2'
loop_
_atom_site_label
_atom_site_fract_x
_atom_site_fract_y
_atom_site_fract_z
Os1 0.0000 0.0000 0.0000
Ru1 0.5000 0.5000 0.5000
S1 0.5000 0.5000 0.0000
N1 0.0000 0.5000 0.5000

***

Record 2
# OsRuSe2N (PBE, optimized geometry)
# Excess energy over the best structure of this formula in the dataset in meV/atom: 0
# Electronic total energy in eV per atom: -6.23
# Raw formation energy in meV per atom: 929
# D(E_F) in states/eV/cell: 8.224
data_OsRuSe2N
_chemical_formula_sum 'Os1 Ru1 Se2 N1'
_cell_length_a 5.0189
_cell_length_b 5.0189
_cell_length_c 3.6331
_cell_angle_alpha 90.00
_cell_angle_beta 90.00
_cell_angle_gamma 90.00
_symmetry_space_group_name_H-M 'P 4/m m m'
_symmetry_Int_Tables_number 123
_symmetry_space_group_name_Hall '-P 4 2'
loop_
_atom_site_label
_atom_site_fract_x
_atom_site_fract_y
_atom_site_fract_z
Os1 0.0000 0.0000 0.0000
Ru1 0.5000 0.5000 0.5000
Se1 0.0000 0.5000 0.0000
N1 0.0000 0.0000 0.5000

***

Record 3
# OsRuSe2N (PBE, optimized geometry)
# Excess energy over the best structure of this formula in the dataset in meV/atom: 226
# Electronic total energy in eV per atom: -6.00
# Raw formation energy in meV per atom: 1156
# D(E_F) in states/eV/cell: 5.586
data_OsRuSe2N
_chemical_formula_sum 'Os1 Ru1 Se2 N1'
_cell_length_a 4.9493
_cell_length_b 4.9493
_cell_length_c 3.5675
_cell_angle_alpha 90.00
_cell_angle_beta 90.00
_cell_angle_gamma 90.00
_symmetry_space_group_name_H-M 'P 4/m m m'
_symmetry_Int_Tables_number 123
_symmetry_space_group_name_Hall '-P 4 2'
loop_
_atom_site_label
_atom_site_fract_x
_atom_site_fract_y
_atom_site_fract_z
Os1 0.0000 0.0000 0.0000
Ru1 0.5000 0.5000 0.5000
Se1 0.0000 0.5000 0.5000
N1 0.5000 0.5000 0.0000